DFT (PBE) results for crystalline CuMo2Os at its relaxed geometry.

Properties
Formation energy from the elements, eV/atom: 0.30
ρ, g cm⁻³: 12.455
Raw total energy, hartree per atom: -0.329
Fermi-level density of states, states/eV/f.u.: 4.2
Symmetry: Cmm2, No. 35

Lattice parameters (Å, degrees): 2.676 2.676 8.806 90.00 90.00 109.54
Fractional positions:
Cu 0.000 0.000 0.000
Mo 0.000 0.000 0.495
Mo 0.500 0.500 0.753
Os 0.500 0.500 0.246